Density functional theory data (PBE-GGA) for BSN2F after structural relaxation.

```
BSN2F
1.0
3.3135 0.0000 0.0000
0.0000 3.3135 0.0000
0.0000 0.0000 5.9169
B S N F
1 1 2 1
direct
0.0000 0.0000 0.0000 B
0.5000 0.5000 0.5000 S
0.0000 0.5000 0.5000 N
0.5000 0.0000 0.5000 N
0.5000 0.5000 0.0000 F
```

Calculated values
Crystal system: tetragonal
M_tot, μB per cell: 0.00
Electronic total energy, eV per atom: -4.1876
Space-group type: P4/mmm
Formation energy (no corrections), eV/atom: 1.678


Density functional theory data (PBE-GGA) for ZnSb2Pd6 after structural relaxation.

```
ZnSb2Pd6
1.0
7.1783 0.0000 0.0000
-3.5891 6.2166 0.0000
0.0000 0.0000 3.3848
Zn Sb Pd
1 2 6
direct
0.0000 0.0000 0.0000 Zn
0.3333 0.6667 0.5000 Sb
0.6667 0.3333 0.5000 Sb
0.0000 0.2717 0.5000 Pd
0.0000 0.6212 0.0000 Pd
0.2717 0.0000 0.5000 Pd
0.3788 0.3788 0.0000 Pd
0.6212 0.0000 0.0000 Pd
0.7283 0.7283 0.5000 Pd
```

Calculated values
Crystal system: hexagonal
M_tot, μB per cell: 0.00
Electronic total energy, eV per atom: -4.9674
Space-group type: P-62m
Formation energy (no corrections), eV/atom: -0.448


Density functional theory data (PBE-GGA) for Ca2ScRe after structural relaxation.

```
Ca2ScRe
1.0
3.0341 0.0000 0.0000
0.0000 3.0341 0.0000
0.0000 0.0000 10.5957
Ca Sc Re
2 1 1
direct
0.0000 0.0000 0.2135 Ca
0.0000 0.0000 0.7865 Ca
0.5000 0.5000 0.5000 Sc
0.5000 0.5000 0.0000 Re
```

Calculated values
Crystal system: tetragonal
M_tot, μB per cell: 0.56
Electronic total energy, eV per atom: -5.0080
Space-group type: P4/mmm


Density functional theory data (PBE-GGA) for Ho6SnS5 after structural relaxation.

```
Ho6SnS5
1.0
3.4408 -5.9594 0.0000
3.4408 5.9594 0.0000
-2.3001 0.0000 6.5164
Ho Sn S
6 1 5
direct
0.0668 0.4132 0.7390 Ho
0.2395 0.2395 0.2584 Ho
0.4132 0.0668 0.7390 Ho
0.5868 0.9332 0.2610 Ho
0.7605 0.7605 0.7416 Ho
0.9332 0.5868 0.2610 Ho
0.5000 0.5000 0.0000 Sn
0.0000 0.0000 0.5000 S
0.1679 0.8321 0.0000 S
0.3380 0.6620 0.5000 S
0.6620 0.3380 0.5000 S
0.8321 0.1679 0.0000 S
```

Calculated values
Crystal system: monoclinic
M_tot, μB per cell: 0.00
Electronic total energy, eV per atom: -6.0721
Space-group type: C2/m
Formation energy (no corrections), eV/atom: -1.730


Density functional theory data (PBE-GGA) for MgNbCr after structural relaxation.

```
MgNbCr
1.0
7.3025 -1.4137 0.0000
7.3025 1.4137 0.0000
-0.7720 0.0000 4.9238
Mg Nb Cr
2 2 2
direct
0.0924 0.0924 0.1551 Mg
0.9076 0.9076 0.8449 Mg
0.2149 0.2149 0.7251 Nb
0.7851 0.7851 0.2749 Nb
0.4408 0.4408 0.3771 Cr
0.5592 0.5592 0.6229 Cr
```

Calculated values
Crystal system: monoclinic
M_tot, μB per cell: 0.00
Electronic total energy, eV per atom: -6.7457
Space-group type: C2/m


Density functional theory data (PBE-GGA) for PmHoCdPb after structural relaxation.

```
PmHoCdPb
1.0
0.0000 3.8125 3.8125
3.8125 0.0000 3.8125
3.8125 3.8125 0.0000
Pm Ho Cd Pb
1 1 1 1
direct
0.0000 0.0000 0.0000 Pm
0.5000 0.5000 0.5000 Ho
0.2500 0.2500 0.2500 Cd
0.7500 0.7500 0.7500 Pb
```

Calculated values
Crystal system: cubic
M_tot, μB per cell: 0.00
Electronic total energy, eV per atom: -3.8849
Space-group type: F-43m


Density functional theory data (PBE-GGA) for LiEu2Si after structural relaxation.

```
LiEu2Si
1.0
3.7657 0.0000 0.0000
0.0000 3.7657 0.0000
0.0000 0.0000 7.8783
Li Eu Si
1 2 1
direct
0.0000 0.0000 0.0000 Li
0.5000 0.5000 0.2914 Eu
0.5000 0.5000 0.7086 Eu
0.0000 0.0000 0.5000 Si
```

Calculated values
Crystal system: tetragonal
M_tot, μB per cell: 13.95
Electronic total energy, eV per atom: -7.1888
Space-group type: P4/mmm
Formation energy (no corrections), eV/atom: -0.217


Density functional theory data (PBE-GGA) for CdBiPPb2 after structural relaxation.

```
CdBiPPb2
1.0
5.5977 0.0000 0.0000
0.0000 5.5977 0.0000
0.0000 0.0000 5.5517
Cd Bi P Pb
1 1 1 2
direct
0.0000 0.0000 0.0000 Cd
0.0000 0.0000 0.5000 Bi
0.5000 0.5000 0.5000 P
0.0000 0.5000 0.0000 Pb
0.5000 0.0000 0.0000 Pb
```

Calculated values
Crystal system: tetragonal
M_tot, μB per cell: 0.00
Electronic total energy, eV per atom: -2.6653
Space-group type: P4/mmm


Density functional theory data (PBE-GGA) for NdHoRh after structural relaxation.

```
NdHoRh
1.0
-1.7507 1.7507 6.3869
1.7507 -1.7507 6.3869
1.7507 1.7507 -6.3869
Nd Ho Rh
1 1 1
direct
0.0000 0.0000 0.0000 Nd
0.2610 0.2610 0.0000 Ho
0.6422 0.6422 0.0000 Rh
```

Calculated values
Crystal system: tetragonal
M_tot, μB per cell: 0.00
Electronic total energy, eV per atom: -6.0582
Space-group type: I4mm


Density functional theory data (PBE-GGA) for Zn2NiIr after structural relaxation.

```
Zn2NiIr
1.0
4.7852 -1.3948 0.0000
4.7852 1.3948 0.0000
-1.9458 0.0000 4.0142
Zn Ni Ir
2 1 1
direct
0.0000 0.0000 0.0000 Zn
0.2370 0.2370 0.5977 Zn
0.4902 0.4902 0.5051 Ni
0.7535 0.7535 0.1079 Ir
```

Calculated values
Crystal system: monoclinic
M_tot, μB per cell: 0.00
Electronic total energy, eV per atom: -4.4554
Space-group type: Cm


Density functional theory data (PBE-GGA) for KMnIn3 after structural relaxation.

```
KMnIn3
1.0
5.9489 0.0000 0.0000
0.0000 5.9489 0.0000
0.0000 0.0000 5.9489
K Mn In
1 1 3
direct
0.0000 0.0000 0.0000 K
0.5000 0.5000 0.5000 Mn
0.0000 0.0000 0.5000 In
0.0000 0.5000 0.0000 In
0.5000 0.0000 0.0000 In
```

Calculated values
Crystal system: cubic
M_tot, μB per cell: 4.51
Electronic total energy, eV per atom: -2.4188
Space-group type: Pm-3m


Density functional theory data (PBE-GGA) for CsSiPCl2 after structural relaxation.

```
CsSiPCl2
1.0
5.4292 0.0000 0.0000
0.0000 5.4292 0.0000
0.0000 0.0000 4.5453
Cs Si P Cl
1 1 1 2
direct
0.0000 0.0000 0.0000 Cs
0.5000 0.5000 0.5000 Si
0.5000 0.5000 0.0000 P
0.0000 0.5000 0.5000 Cl
0.5000 0.0000 0.5000 Cl
```

Calculated values
Crystal system: tetragonal
M_tot, μB per cell: 0.90
Electronic total energy, eV per atom: -3.5688
Space-group type: P4/mmm
Formation energy (no corrections), eV/atom: -0.493